1.
Compound: Hf2Zn2Bi
Source: the Alexandria database
Functional: PBE
Structure: optimized geometry

Output
Fermi-level density of states (states/eV per atom): 1.1969
Theoretical density (kg/m³): 10878
Energy of formation from the pure elements (eV per atom): 0.1214
Raw total energy (eV per atom): -5.1457
Relative energy among the computed polymorphs (meV per atom): 136
Crystal system: tetragonal
SG: I4/mmm

```
Hf2Zn2Bi
1.0
-1.850 1.850 7.769
1.850 -1.850 7.769
1.850 1.850 -7.769
Hf Zn Bi
2 2 1
direct
0.105 0.105 0.000 Hf
0.895 0.895 0.000 Hf
0.250 0.750 0.500 Zn
0.750 0.250 0.500 Zn
0.500 0.500 0.000 Bi
```



2.
Compound: Hf3ZrBi2
Source: the Alexandria database
Functional: PBE
Structure: optimized geometry

Output
Fermi-level density of states (states/eV per atom): 0.6269
Theoretical density (kg/m³): 11766
Energy of formation from the pure elements (eV per atom): -0.0939
Raw total energy (eV per atom): -7.7889
Crystal system: monoclinic
SG: C2/m

```
Hf3ZrBi2
1.0
8.329 -1.875 0.000
8.329 1.875 0.000
-3.612 0.000 9.442
Hf Zr Bi
6 2 4
direct
0.050 0.050 0.150 Hf
0.312 0.312 0.620 Hf
0.378 0.378 0.022 Hf
0.622 0.622 0.978 Hf
0.688 0.688 0.380 Hf
0.950 0.950 0.850 Hf
0.115 0.115 0.567 Zr
0.885 0.885 0.433 Zr
0.253 0.253 0.194 Bi
0.496 0.496 0.332 Bi
0.504 0.504 0.668 Bi
0.747 0.747 0.806 Bi
```



3.
Compound: Hf4Zr3Bi4
Source: the Alexandria database
Functional: PBE
Structure: optimized geometry

Output
Fermi-level density of states (states/eV per atom): 0.6883
Theoretical density (kg/m³): 11112
Energy of formation from the pure elements (eV per atom): -0.1667
Raw total energy (eV per atom): -7.5287
Crystal system: orthorhombic
SG: Amm2

```
Hf4Zr3Bi4
1.0
9.515 0.000 0.000
0.000 1.963 7.294
0.000 -1.963 7.294
Hf Zr Bi
4 3 4
direct
0.000 0.000 0.000 Hf
0.245 0.490 0.490 Hf
0.500 0.008 0.008 Hf
0.755 0.490 0.490 Hf
0.000 0.670 0.670 Zr
0.264 0.820 0.820 Zr
0.736 0.820 0.820 Zr
0.000 0.337 0.337 Bi
0.261 0.151 0.151 Bi
0.500 0.352 0.352 Bi
0.739 0.151 0.151 Bi
```



4.
Compound: HfZr3Bi
Source: the Alexandria database
Functional: PBE
Structure: optimized geometry

Output
Fermi-level density of states (states/eV per atom): 2.2162
Theoretical density (kg/m³): 7200
Energy of formation from the pure elements (eV per atom): 1.0768
Raw total energy (eV per atom): -6.8189
Relative energy among the computed polymorphs (meV per atom): 1162
Crystal system: cubic
SG: Pm-3m

```
HfZr3Bi
1.0
5.342 0.000 0.000
0.000 5.342 0.000
0.000 0.000 5.342
Hf Zr Bi
1 3 1
direct
0.000 0.000 0.000 Hf
0.000 0.500 0.500 Zr
0.500 0.000 0.500 Zr
0.500 0.500 0.000 Zr
0.500 0.500 0.500 Bi
```



5.
Compound: HfZr3Bi
Source: the Alexandria database
Functional: PBE
Structure: optimized geometry

Output
Fermi-level density of states (states/eV per atom): 1.1265
Theoretical density (kg/m³): 9147
Energy of formation from the pure elements (eV per atom): -0.0288
Raw total energy (eV per atom): -7.9245
Relative energy among the computed polymorphs (meV per atom): 56
Crystal system: monoclinic
SG: C2/c

```
HfZr3Bi
1.0
6.567 -4.546 0.000
6.567 4.546 0.000
-5.991 0.000 8.041
Hf Zr Bi
4 12 4
direct
0.065 0.648 0.685 Hf
0.352 0.935 0.815 Hf
0.648 0.065 0.185 Hf
0.935 0.352 0.315 Hf
0.147 0.444 0.937 Zr
0.159 0.182 0.595 Zr
0.182 0.159 0.095 Zr
0.238 0.562 0.412 Zr
0.438 0.762 0.088 Zr
0.444 0.147 0.437 Zr
0.556 0.853 0.563 Zr
0.562 0.238 0.912 Zr
0.762 0.438 0.588 Zr
0.818 0.841 0.905 Zr
0.841 0.818 0.405 Zr
0.853 0.556 0.063 Zr
0.118 0.882 0.250 Bi
0.487 0.513 0.750 Bi
0.513 0.487 0.250 Bi
0.882 0.118 0.750 Bi
```



6.
Compound: HfZr2Bi
Source: the Alexandria database
Functional: PBE
Structure: optimized geometry

Output
Fermi-level density of states (states/eV per atom): 0.7264
Theoretical density (kg/m³): 9844
Energy of formation from the pure elements (eV per atom): -0.1990
Raw total energy (eV per atom): -7.9317
Crystal system: tetragonal
SG: I-4

```
HfZr2Bi
1.0
-5.734 5.734 2.924
5.734 -5.734 2.924
5.734 5.734 -2.924
Hf Zr Bi
4 8 4
direct
0.192 0.290 0.526 Hf
0.335 0.808 0.098 Hf
0.710 0.236 0.902 Hf
0.764 0.665 0.474 Hf
0.031 0.555 0.686 Zr
0.078 0.248 0.875 Zr
0.372 0.202 0.125 Zr
0.445 0.131 0.476 Zr
0.655 0.969 0.524 Zr
0.752 0.628 0.830 Zr
0.798 0.922 0.170 Zr
0.869 0.345 0.314 Zr
0.245 0.065 0.757 Bi
0.308 0.488 0.243 Bi
0.512 0.755 0.819 Bi
0.935 0.692 0.181 Bi
```